# 1
Entry from Alexandria: a geometry-optimized Ho3As2Se2 structure (PBE).

a b c (Å): 4.063 7.221 8.066
angles (deg): 119.30 104.59 90.00
Sites, in units of the cell vectors:
Se1 0.876 0.691 0.752
Se2 0.124 0.309 0.248
Ho1 0.000 0.500 0.000
Ho2 0.273 0.767 0.546
Ho3 0.727 0.233 0.454
As1 0.363 0.227 0.726
As2 0.637 0.773 0.274

- Final energy: -5.693 eV per atom
- Symmetry: C2/m
- D(E_F): 0.5956 states/eV per atom


# 2
Entry from Alexandria: a geometry-optimized ZrRe2Hg structure (PBE).

a b c (Å): 3.118 4.143 5.882
angles (deg): 90.00 90.00 90.00
Sites, in units of the cell vectors:
Zr1 0.500 0.500 0.250
Hg1 0.500 0.500 0.750
Re1 0.000 0.000 0.454
Re2 0.000 0.000 0.046

- E_form: 470 meV/atom
- Final energy: -7.966 eV per atom
- Symmetry: Pmmm
- D(E_F): 0.8444 states/eV per atom


# 3
Entry from Alexandria: a geometry-optimized RuRh5 structure (PBE).

a b c (Å): 3.835 4.704 5.426
angles (deg): 106.81 89.96 114.12
Sites, in units of the cell vectors:
Rh1 0.969 0.937 0.051
Rh2 0.306 0.611 0.222
Rh3 0.642 0.285 0.393
Rh4 0.639 0.278 0.887
Rh5 0.972 0.945 0.558
Ru1 0.306 0.611 0.722

- E_form: 21 meV/atom
- Final energy: -7.652 eV per atom
- Symmetry: C2/m
- D(E_F): 1.3112 states/eV per atom


# 4
Entry from Alexandria: a geometry-optimized PrThIn2 structure (PBE).

a b c (Å): 3.520 3.520 11.288
angles (deg): 81.03 81.03 60.00
Sites, in units of the cell vectors:
Th1 0.000 0.000 0.000
In1 0.750 0.750 0.750
In2 0.250 0.250 0.250
Pr1 0.500 0.500 0.500

- E_form: -190 meV/atom
- Final energy: -4.610 eV per atom
- Symmetry: R-3m
- D(E_F): 1.3103 states/eV per atom


# 5
Entry from Alexandria: a geometry-optimized KTiVAu2 structure (PBE).

a b c (Å): 5.213 4.706 5.213
angles (deg): 90.00 90.00 90.00
Each line ends with the local moment (μB).
Sites, in units of the cell vectors:
K1 0.000 0.000 0.000  0.11
Au1 0.000 0.000 0.500  0.03
Au2 0.500 0.000 0.000  0.01
Ti1 0.500 0.500 0.500  0.12
V1 0.000 0.500 0.000  3.03

- E_form: 1774 meV/atom
- Final energy: -3.160 eV per atom
- Symmetry: P4/mmm
- D(E_F): 2.3072 states/eV per atom


# 6
Entry from Alexandria: a geometry-optimized Ac2As3Au5 structure (PBE).

a b c (Å): 6.565 9.111 9.111
angles (deg): 70.62 68.88 68.88
Sites, in units of the cell vectors:
As1 0.250 0.000 0.000
As2 0.385 0.469 0.762
As3 0.115 0.238 0.531
As4 0.615 0.531 0.238
As5 0.885 0.762 0.469
As6 0.750 0.000 0.000
Ac1 0.129 0.642 0.101
Ac2 0.629 0.101 0.642
Ac3 0.371 0.899 0.358
Ac4 0.871 0.358 0.899
Au1 0.370 0.242 0.019
Au2 0.250 0.500 0.500
Au3 0.473 0.277 0.277
Au4 0.750 0.500 0.500
Au5 0.130 0.981 0.758
Au6 0.870 0.019 0.242
Au7 0.973 0.277 0.277
Au8 0.527 0.723 0.723
Au9 0.027 0.723 0.723
Au10 0.630 0.758 0.981

- E_form: -623 meV/atom
- Final energy: -4.479 eV per atom
- Symmetry: Ibam
- D(E_F): 0.2944 states/eV per atom


# 7
Entry from Alexandria: a geometry-optimized Pm12Tm6Sc structure (PBE).

a b c (Å): 8.579 8.579 8.579
angles (deg): 89.07 89.07 89.07
Sites, in units of the cell vectors:
Pm1 0.464 0.564 0.217
Pm2 0.217 0.464 0.564
Pm3 0.189 0.361 0.018
Pm4 0.982 0.811 0.639
Pm5 0.536 0.436 0.783
Pm6 0.361 0.018 0.189
Pm7 0.783 0.536 0.436
Pm8 0.436 0.783 0.536
Pm9 0.564 0.217 0.464
Pm10 0.811 0.639 0.982
Pm11 0.639 0.982 0.811
Pm12 0.018 0.189 0.361
Tm1 0.099 0.709 0.258
Tm2 0.258 0.099 0.709
Tm3 0.742 0.901 0.291
Tm4 0.291 0.742 0.901
Tm5 0.901 0.291 0.742
Tm6 0.709 0.258 0.099
Sc1 0.000 0.000 0.000

- E_form: 138 meV/atom
- Final energy: -4.607 eV per atom
- Symmetry: R-3
- D(E_F): 1.7309 states/eV per atom


# 8
Entry from Alexandria: a geometry-optimized Pm3Er2Ga4 structure (PBE).

a b c (Å): 7.105 9.126 8.223
angles (deg): 90.00 115.59 90.00
Sites, in units of the cell vectors:
Pm1 0.468 0.250 0.436
Pm2 0.500 0.500 0.000
Pm3 0.000 0.000 0.000
Pm4 0.968 0.250 0.436
Pm5 0.032 0.750 0.564
Pm6 0.532 0.750 0.564
Ga1 0.302 0.478 0.604
Ga2 0.761 0.250 0.022
Ga3 0.261 0.250 0.022
Ga4 0.698 0.522 0.396
Ga5 0.198 0.978 0.396
Ga6 0.739 0.750 0.978
Ga7 0.239 0.750 0.978
Ga8 0.802 0.022 0.604
Er1 0.895 0.441 0.789
Er2 0.605 0.941 0.211
Er3 0.395 0.059 0.789
Er4 0.105 0.559 0.211

- E_form: -350 meV/atom
- Final energy: -4.293 eV per atom
- Symmetry: Cmce
- D(E_F): 0.5519 states/eV per atom


# 9
Entry from Alexandria: a geometry-optimized LaP2F structure (PBE).

a b c (Å): 3.606 3.606 11.524
angles (deg): 81.00 81.00 90.00
Sites, in units of the cell vectors:
La1 0.750 0.250 0.500
La2 0.000 0.000 0.000
P1 0.375 0.823 0.750
P2 0.573 0.625 0.250
P3 0.177 0.125 0.250
P4 0.875 0.427 0.750
F1 0.250 0.750 0.500
F2 0.500 0.500 0.000

- Final energy: -5.943 eV per atom
- Symmetry: I-42d
- D(E_F): 0.1256 states/eV per atom


# 10
Entry from Alexandria: a geometry-optimized Tb5PmSc2 structure (PBE).

a b c (Å): 8.880 8.880 8.830
angles (deg): 120.19 120.19 90.00
Each line ends with the local moment (μB).
Sites, in units of the cell vectors:
Pm1 0.250 0.250 0.500  0.05
Pm2 0.750 0.750 0.500  0.05
Sc1 0.145 0.355 0.000  0.00
Sc2 0.645 0.145 0.000  0.00
Sc3 0.855 0.645 0.000  0.00
Sc4 0.355 0.855 0.000  0.00
Tb1 0.193 0.992 0.685  0.00
Tb2 0.492 0.693 0.685  0.00
Tb3 0.807 0.008 0.315  0.00
Tb4 0.992 0.492 0.685  0.00
Tb5 0.000 0.000 0.000  0.07
Tb6 0.508 0.307 0.315  0.00
Tb7 0.693 0.193 0.685  0.00
Tb8 0.307 0.807 0.315  0.00
Tb9 0.500 0.500 0.000  0.07
Tb10 0.008 0.508 0.315  0.00

- E_form: 123 meV/atom
- Final energy: -4.948 eV per atom
- Symmetry: I4/mcm
- D(E_F): 1.4458 states/eV per atom


# 11
Entry from Alexandria: a geometry-optimized SrDyTlHg structure (PBE).

a b c (Å): 3.849 3.849 7.983
angles (deg): 90.00 90.00 90.00
Each line ends with the local moment (μB).
Sites, in units of the cell vectors:
Dy1 0.000 0.000 0.369  0.09
Tl1 0.500 0.500 0.131  0.00
Hg1 0.500 0.500 0.577  0.01
Sr1 0.000 0.000 0.850  0.00

- E_form: -448 meV/atom
- Final energy: -2.686 eV per atom
- Symmetry: P4mm
- D(E_F): 0.7071 states/eV per atom


# 12
Entry from Alexandria: a geometry-optimized CuGe2Br structure (PBE).

a b c (Å): 5.927 5.927 7.273
angles (deg): 65.95 65.95 90.00
Sites, in units of the cell vectors:
Br1 0.750 0.250 0.500
Br2 0.000 0.000 0.000
Ge1 0.375 0.463 0.750
Ge2 0.213 0.625 0.250
Ge3 0.875 0.787 0.750
Ge4 0.537 0.125 0.250
Cu1 0.500 0.500 0.000
Cu2 0.250 0.750 0.500

- Final energy: -3.489 eV per atom
- Symmetry: I-42d
- D(E_F): 0.0000 states/eV per atom